# Er2Zr3Se8 PBE optimized geometry
data_Er2Zr3Se8
_chemical_formula_sum 'Er2 Zr3 Se8'
_cell_length_a 6.609
_cell_length_b 7.659
_cell_length_c 8.059
_cell_angle_alpha 118.37
_cell_angle_beta 104.86
_cell_angle_gamma 90.00
_symmetry_space_group_name_H-M 'P 1'
_symmetry_Int_Tables_number 1
loop_
_symmetry_equiv_pos_as_xyz
'x,y,z'
loop_
_atom_site_label
_atom_site_type_symbol
_atom_site_fract_x
_atom_site_fract_y
_atom_site_fract_z
_atom_site_occupancy
Er1 Er 0.323 0.247 0.494 1
Er2 Er 0.677 0.753 0.506 1
Zr1 Zr 0.500 0.000 0.000 1
Zr2 Zr 0.000 0.252 0.000 1
Zr3 Zr 0.000 0.748 0.000 1
Se1 Se 0.899 0.610 0.221 1
Se2 Se 0.101 0.390 0.779 1
Se3 Se 0.906 0.120 0.241 1
Se4 Se 0.094 0.880 0.759 1
Se5 Se 0.589 0.631 0.762 1
Se6 Se 0.589 0.131 0.762 1
Se7 Se 0.411 0.869 0.238 1
Se8 Se 0.411 0.369 0.238 1
# Theoretical density: 5997 kg/m3
# Raw formation energy: -1.463 eV/atom
# Calculated total energy: -0.23087 Ha/atom

=====

# V5Cr3 PBE optimized geometry
data_V5Cr3
_chemical_formula_sum 'V5 Cr3'
_cell_length_a 2.931
_cell_length_b 2.931
_cell_length_c 11.779
_cell_angle_alpha 90.00
_cell_angle_beta 90.00
_cell_angle_gamma 90.00
_symmetry_space_group_name_H-M 'P 1'
_symmetry_Int_Tables_number 1
loop_
_symmetry_equiv_pos_as_xyz
'x,y,z'
loop_
_atom_site_label
_atom_site_type_symbol
_atom_site_fract_x
_atom_site_fract_y
_atom_site_fract_z
_atom_site_occupancy
V1 V 0.000 0.000 0.244 1
V2 V 0.500 0.500 0.621 1
V3 V 0.500 0.500 0.379 1
V4 V 0.000 0.000 0.756 1
V5 V 0.000 0.000 0.000 1
Cr1 Cr 0.500 0.500 0.125 1
Cr2 Cr 0.500 0.500 0.875 1
Cr3 Cr 0.000 0.000 0.500 1
# Theoretical density: 6741 kg/m3
# Formation energy from the elements: -73.2 meV/atom
# Calculated total energy: -0.34475 Ha/atom

=====

# V3CoS PBE optimized geometry
data_V3CoS
_chemical_formula_sum 'V3 Co1 S1'
_cell_length_a 4.244
_cell_length_b 4.244
_cell_length_c 4.244
_cell_angle_alpha 90.00
_cell_angle_beta 90.00
_cell_angle_gamma 90.00
_symmetry_space_group_name_H-M 'P 1'
_symmetry_Int_Tables_number 1
loop_
_symmetry_equiv_pos_as_xyz
'x,y,z'
loop_
_atom_site_label
_atom_site_type_symbol
_atom_site_fract_x
_atom_site_fract_y
_atom_site_fract_z
_atom_site_occupancy
S1 S 0.000 0.000 0.000 1
Co1 Co 0.500 0.500 0.500 1
V1 V 0.000 0.500 0.000 1
V2 V 0.000 0.000 0.500 1
V3 V 0.500 0.000 0.000 1
# Theoretical density: 5296 kg/m3
# Relative energy among the computed polymorphs: 0.0 kJ per mole of atoms
# Raw formation energy: 0.345 eV/atom
# Calculated total energy: -0.27093 Ha/atom

=====

# LaTb5Pm PBE optimized geometry
data_LaTb5Pm
_chemical_formula_sum 'La1 Tb5 Pm1'
_cell_length_a 5.785
_cell_length_b 7.894
_cell_length_c 7.894
_cell_angle_alpha 66.68
_cell_angle_beta 68.51
_cell_angle_gamma 68.51
_symmetry_space_group_name_H-M 'P 1'
_symmetry_Int_Tables_number 1
loop_
_symmetry_equiv_pos_as_xyz
'x,y,z'
loop_
_atom_site_label
_atom_site_type_symbol
_atom_site_fract_x
_atom_site_fract_y
_atom_site_fract_z
_atom_site_occupancy
La1 La 0.000 0.000 0.000 1
Tb1 Tb 0.500 0.180 0.820 1
Tb2 Tb 0.500 0.820 0.180 1
Tb3 Tb 0.748 0.252 0.252 1
Tb4 Tb 0.252 0.748 0.748 1
Tb5 Tb 0.000 0.500 0.500 1
Pm1 Pm 0.500 0.500 0.500 1
# Theoretical density: 6019 kg/m3
# Relative energy among the computed polymorphs: 83.9 kJ per mole of atoms
# Formation energy from the elements: 1057.7 meV/atom
# Calculated total energy: -0.13348 Ha/atom

=====

# Sr6Ca PBE optimized geometry
data_Sr6Ca
_chemical_formula_sum 'Sr12 Ca2'
_cell_length_a 7.674
_cell_length_b 7.674
_cell_length_c 13.484
_cell_angle_alpha 90.00
_cell_angle_beta 90.00
_cell_angle_gamma 90.00
_symmetry_space_group_name_H-M 'P 1'
_symmetry_Int_Tables_number 1
loop_
_symmetry_equiv_pos_as_xyz
'x,y,z'
loop_
_atom_site_label
_atom_site_type_symbol
_atom_site_fract_x
_atom_site_fract_y
_atom_site_fract_z
_atom_site_occupancy
Sr1 Sr 0.500 0.500 0.141 1
Sr2 Sr 0.000 0.000 0.141 1
Sr3 Sr 0.000 0.000 0.859 1
Sr4 Sr 0.500 0.500 0.859 1
Sr5 Sr 0.823 0.677 0.365 1
Sr6 Sr 0.323 0.823 0.365 1
Sr7 Sr 0.677 0.177 0.365 1
Sr8 Sr 0.177 0.323 0.365 1
Sr9 Sr 0.677 0.823 0.635 1
Sr10 Sr 0.177 0.677 0.635 1
Sr11 Sr 0.823 0.323 0.635 1
Sr12 Sr 0.323 0.177 0.635 1
Ca1 Ca 0.500 0.000 0.000 1
Ca2 Ca 0.000 0.500 0.000 1
# Theoretical density: 2366 kg/m3
# Relative energy among the computed polymorphs: 20.6 kJ per mole of atoms
# Formation energy from the elements: 220.5 meV/atom
# Calculated total energy: -0.05538 Ha/atom

=====

# Si2SbMo PBE optimized geometry
data_Si2SbMo
_chemical_formula_sum 'Si2 Sb1 Mo1'
_cell_length_a 3.379
_cell_length_b 4.496
_cell_length_c 4.496
_cell_angle_alpha 90.00
_cell_angle_beta 90.00
_cell_angle_gamma 90.00
_symmetry_space_group_name_H-M 'P 1'
_symmetry_Int_Tables_number 1
loop_
_symmetry_equiv_pos_as_xyz
'x,y,z'
loop_
_atom_site_label
_atom_site_type_symbol
_atom_site_fract_x
_atom_site_fract_y
_atom_site_fract_z
_atom_site_occupancy
Mo1 Mo 0.500 0.500 0.000 1
Sb1 Sb 0.500 0.000 0.500 1
Si1 Si 0.000 0.000 0.000 1
Si2 Si 0.000 0.500 0.500 1
# Theoretical density: 6659 kg/m3
# Raw formation energy: 0.562 eV/atom
# Calculated total energy: -0.21637 Ha/atom

=====

# YUMn2 PBE optimized geometry
data_YUMn2
_chemical_formula_sum 'Y1 U1 Mn2'
_cell_length_a 4.144
_cell_length_b 4.144
_cell_length_c 5.693
_cell_angle_alpha 68.66
_cell_angle_beta 68.66
_cell_angle_gamma 60.00
_symmetry_space_group_name_H-M 'P 1'
_symmetry_Int_Tables_number 1
loop_
_symmetry_equiv_pos_as_xyz
'x,y,z'
loop_
_atom_site_label
_atom_site_type_symbol
_atom_site_fract_x
_atom_site_fract_y
_atom_site_fract_z
_atom_site_occupancy
Y1 Y 0.000 0.000 0.000 1
Mn1 Mn 0.801 0.801 0.597 1
Mn2 Mn 0.199 0.199 0.403 1
U1 U 0.500 0.500 0.500 1
# Theoretical density: 9442 kg/m3
# Relative energy among the computed polymorphs: 0.0 kJ per mole of atoms
# Formation energy from the elements: 22.3 meV/atom
# Calculated total energy: -0.33076 Ha/atom

=====

# Hf2Sb2As PBE optimized geometry
data_Hf2Sb2As
_chemical_formula_sum 'Hf4 Sb4 As2'
_cell_length_a 7.955
_cell_length_b 7.955
_cell_length_c 3.680
_cell_angle_alpha 90.00
_cell_angle_beta 90.00
_cell_angle_gamma 90.00
_symmetry_space_group_name_H-M 'P 1'
_symmetry_Int_Tables_number 1
loop_
_symmetry_equiv_pos_as_xyz
'x,y,z'
loop_
_atom_site_label
_atom_site_type_symbol
_atom_site_fract_x
_atom_site_fract_y
_atom_site_fract_z
_atom_site_occupancy
Sb1 Sb 0.346 0.846 0.000 1
Sb2 Sb 0.846 0.654 0.000 1
Sb3 Sb 0.654 0.154 0.000 1
Sb4 Sb 0.154 0.346 0.000 1
As1 As 0.000 0.000 0.000 1
As2 As 0.500 0.500 0.000 1
Hf1 Hf 0.141 0.641 0.500 1
Hf2 Hf 0.641 0.859 0.500 1
Hf3 Hf 0.859 0.359 0.500 1
Hf4 Hf 0.359 0.141 0.500 1
# Theoretical density: 9630 kg/m3
# Relative energy among the computed polymorphs: 36.4 kJ per mole of atoms
# Raw formation energy: -0.046 eV/atom
# Calculated total energy: -0.24277 Ha/atom